Computed, not measured: a relaxed Li2HfMoO6 crystal at the PBE+U level of DFT.

Electronic total energy ... -7.4086 eV per atom
Mass density ... 5798 kg/m³

a = 5.2215 Å, b = 5.2215 Å, c = 13.9835 Å
α = 90.00°, β = 90.00°, γ = 120.00°
Space group R3 (No. 146, hexagonal axes)
Symmetry-distinct sites (fractional):
Li (0.0000, 0.0000, 0.0000) (multiplicity 3)
Li (0.0000, 0.0000, 0.4898) (multiplicity 3)
Hf (0.0000, 0.0000, 0.7775) (multiplicity 3)
Mo (0.0000, 0.0000, 0.2808) (multiplicity 3)
O (0.0244, 0.6398, 0.0410) (multiplicity 9)
O (0.0477, 0.3379, 0.8790) (multiplicity 9)